Density functional theory data (GGA-PBEsol) for Ca2ScTe after structural relaxation.

Computed properties:
Formation energy from raw total energies: -0.41 eV/atom
Magnetization: 1.36 μB per cell
Symmetry: R-3m (166)
Calculated total energy: -4.012 eV per atom

Geometry as extended XYZ:
```
4
Lattice="3.945 0.000 0.000 1.972 3.416 0.000 1.972 1.139 9.856" Properties=species:S:1:pos:R:3 pbc="T T T"
Sc 3.945 2.278 4.928
Ca 1.972 1.139 2.022
Ca 5.917 3.416 7.835
Te 0.000 0.000 0.000
```